A relaxed structure of KNiSnHg2. Source: Alexandria via LeMat-Bulk, functional PBE.

a = 5.216 Å, b = 5.216 Å, c = 4.938 Å
α = 90.00°, β = 90.00°, γ = 90.00°
Space group P4/mmm (No. 123)
One atom of each set of equivalent atoms:
K: 0.000 0.000 0.000 (multiplicity 1)
Ni: 0.500 0.500 0.500 (multiplicity 1)
Sn: 0.500 0.500 0.000 (multiplicity 1)
Hg: 0.000 0.500 0.500 (multiplicity 2)

Properties
calculated density = 7.6 g/cm³
ΔH_f (0 K) = -0.11 eV per atom

***

A relaxed structure of LaCdHRhAu. Source: Alexandria via LeMat-Bulk, functional PBE.

a = 3.578 Å, b = 4.826 Å, c = 5.238 Å
α = 90.00°, β = 90.00°, γ = 90.00°
Space group Pmm2 (No. 25)
One atom of each set of equivalent atoms:
La: 0.000 0.000 0.000 (multiplicity 1)
Cd: 0.000 0.500 0.504 (multiplicity 1)
H: 0.000 0.500 0.024 (multiplicity 1)
Rh: 0.500 0.500 0.982 (multiplicity 1)
Au: 0.500 0.000 0.500 (multiplicity 1)

Properties
electronic total energy = -4.3852 eV per atom
calculated density = 10.1 g/cm³

***

A relaxed structure of Ac5Tl2Rh4. Source: Alexandria via LeMat-Bulk, functional PBE.

a = 20.979 Å, b = 4.251 Å, c = 8.031 Å
α = 90.00°, β = 97.56°, γ = 90.00°
Space group C2/m (No. 12)
One atom of each set of equivalent atoms:
Ac: 0.000 0.000 0.000 (multiplicity 2)
Ac: 0.096 0.500 0.446 (multiplicity 4)
Ac: 0.165 0.500 0.929 (multiplicity 4)
Tl: 0.239 0.000 0.645 (multiplicity 4)
Rh: 0.029 0.500 0.772 (multiplicity 4)
Rh: 0.110 0.000 0.711 (multiplicity 4)

Properties
calculated density = 9.1 g/cm³
ΔH_f (0 K) = -0.41 eV per atom

***

A relaxed structure of Ba2RuSe. Source: Alexandria via LeMat-Bulk, functional PBE.

a = 4.5067 Å, b = 4.5067 Å, c = 24.7438 Å
α = 90.00°, β = 90.00°, γ = 120.00°
Space group R-3m (No. 166, hexagonal axes)
One atom of each set of equivalent atoms:
Ba: 0.0000 0.0000 0.2473 (multiplicity 6)
Ru: 0.0000 0.0000 0.0000 (multiplicity 3)
Se: 0.0000 0.0000 0.5000 (multiplicity 3)

Properties
raw formation energy = -0.25 eV/atom
calculated density = 5.2 g/cm³

***

A relaxed structure of Pm2ZnAg7. Source: Alexandria via LeMat-Bulk, functional PBE.

a = 9.933 Å, b = 9.933 Å, c = 9.933 Å
α = 90.00°, β = 90.00°, γ = 90.00°
Space group Fm-3m (No. 225)
One atom of each set of equivalent atoms:
Pm: 0.250 0.250 0.250 (multiplicity 8)
Zn: 0.000 0.000 0.000 (multiplicity 4)
Ag: 0.000 0.000 0.242 (multiplicity 24)
Ag: 0.000 0.000 0.500 (multiplicity 4)

Properties
calculated density = 7.5 g/cm³
ΔH_f (0 K) = 0.20 eV per atom

***

A relaxed structure of Tb2RhSe. Source: Alexandria via LeMat-Bulk, functional PBE.

a = 3.925 Å, b = 22.632 Å, c = 4.189 Å
α = 90.00°, β = 90.00°, γ = 90.00°
Space group Cmcm (No. 63)
One atom of each set of equivalent atoms:
Tb: 0.000 0.062 0.250 (multiplicity 4)
Tb: 0.000 0.327 0.250 (multiplicity 4)
Rh: 0.000 0.455 0.250 (multiplicity 4)
Se: 0.000 0.194 0.250 (multiplicity 4)

Properties
raw formation energy = -1.30 eV/atom
calculated density = 8.9 g/cm³

***

A relaxed structure of NbCdBr3. Source: Alexandria via LeMat-Bulk, functional PBE.

a = 5.249 Å, b = 5.249 Å, c = 5.249 Å
α = 90.00°, β = 90.00°, γ = 90.00°
Space group Pm-3m (No. 221)
One atom of each set of equivalent atoms:
Nb: 0.000 0.000 0.000 (multiplicity 1)
Cd: 0.500 0.500 0.500 (multiplicity 1)
Br: 0.000 0.000 0.500 (multiplicity 3)

Properties
raw formation energy = -0.27 eV/atom
calculated density = 5.1 g/cm³

***

A relaxed structure of Ag2SnSb2. Source: Alexandria via LeMat-Bulk, functional PBE.

a = 4.421 Å, b = 4.421 Å, c = 13.213 Å
α = 90.00°, β = 90.00°, γ = 90.00°
Space group I4/mmm (No. 139)
One atom of each set of equivalent atoms:
Ag: 0.000 0.000 0.101 (multiplicity 4)
Sn: 0.000 0.000 0.500 (multiplicity 2)
Sb: 0.000 0.500 0.250 (multiplicity 4)

Properties
raw formation energy = 0.21 eV/atom
calculated density = 7.4 g/cm³

***

A relaxed structure of CeDy2Tm4. Source: Alexandria via LeMat-Bulk, functional PBE.

a = 6.131 Å, b = 3.542 Å, c = 19.851 Å
α = 90.00°, β = 95.92°, γ = 90.00°
Space group Cm (No. 8)
One atom of each set of equivalent atoms:
Ce: 0.000 0.000 0.000 (multiplicity 2)
Dy: 0.094 0.000 0.287 (multiplicity 2)
Dy: 0.189 0.000 0.573 (multiplicity 2)
Tm: 0.285 0.000 0.856 (multiplicity 2)
Tm: 0.308 0.500 0.430 (multiplicity 2)
Tm: 0.381 0.000 0.144 (multiplicity 2)
Tm: 0.404 0.500 0.716 (multiplicity 2)

Properties
calculated density = 8.8 g/cm³
ΔH_f (0 K) = 0.03 eV per atom

***

A relaxed structure of Ti2NbS4. Source: Alexandria via LeMat-Bulk, functional PBE.

a = 3.301 Å, b = 11.290 Å, c = 12.674 Å
α = 90.00°, β = 90.00°, γ = 90.00°
Space group Cmcm (No. 63)
One atom of each set of equivalent atoms:
Ti: 0.000 0.136 0.071 (multiplicity 8)
Nb: 0.000 0.364 0.250 (multiplicity 4)
S: 0.000 0.035 0.250 (multiplicity 4)
S: 0.000 0.210 0.615 (multiplicity 8)
S: 0.000 0.500 0.000 (multiplicity 4)

Properties
raw formation energy = -1.07 eV/atom
calculated density = 4.5 g/cm³

***

A relaxed structure of YEr7Tm3. Source: Alexandria via LeMat-Bulk, functional PBE.

a = 6.905 Å, b = 5.451 Å, c = 9.759 Å
α = 90.00°, β = 109.85°, γ = 90.00°
Space group P2/m (No. 10)
One atom of each set of equivalent atoms:
Y: 0.000 0.000 0.000 (multiplicity 1)
Er: 0.000 0.000 0.500 (multiplicity 1)
Er: 0.148 0.500 0.791 (multiplicity 2)
Er: 0.323 0.500 0.142 (multiplicity 2)
Er: 0.423 0.000 0.331 (multiplicity 2)
Tm: 0.278 0.500 0.497 (multiplicity 2)
Tm: 0.500 0.000 0.000 (multiplicity 1)

Properties
calculated density = 8.5 g/cm³
ΔH_f (0 K) = 0.15 eV per atom

***

A relaxed structure of Ba3Pa5N12. Source: Alexandria via LeMat-Bulk, functional PBE.

a = 14.591 Å, b = 14.591 Å, c = 14.591 Å
α = 90.00°, β = 90.00°, γ = 90.00°
Space group Ia-3d (No. 230)
One atom of each set of equivalent atoms:
Ba: 0.000 0.250 0.125 (multiplicity 24)
Pa: 0.000 0.000 0.000 (multiplicity 16)
Pa: 0.000 0.250 0.375 (multiplicity 24)
N: 0.033 0.042 0.646 (multiplicity 96)

Properties
raw formation energy = -0.94 eV/atom
calculated density = 7.4 g/cm³